{
  "formula": "NbFe3Cu2P6O24",
  "functional": "PBE with a Hubbard U",
  "state": "optimized geometry",
  "density_g_cm3": 3.56,
  "energy_ev_per_atom": -6.954,
  "cell": [[-1.766, 1.636, -8.194], [-5.730, -4.825, -4.100], [-7.582, 3.340, -2.071]],
  "species": ["O", "O", "O", "O", "O", "O", "O", "O", "O", "O", "O", "O", "O", "O", "O", "O", "O", "O", "O", "O", "O", "O", "O", "O", "Fe", "Fe", "Fe", "P", "P", "P", "P", "P", "P", "Cu", "Cu", "Nb"],
  "fractional_positions": [[0.487, 0.878, 0.694], [0.422, 0.548, 0.765], [0.929, 0.097, 0.742], [0.993, 0.816, 0.613], [0.390, 0.000, 0.182], [0.182, 0.390, 0.000], [0.307, 0.512, 0.121], [0.121, 0.307, 0.512], [0.254, 0.074, 0.904], [0.613, 0.993, 0.816], [0.097, 0.742, 0.929], [0.548, 0.765, 0.422], [0.234, 0.579, 0.455], [0.074, 0.904, 0.254], [0.742, 0.929, 0.097], [0.878, 0.694, 0.487], [0.694, 0.487, 0.878], [0.816, 0.613, 0.993], [0.904, 0.254, 0.074], [0.000, 0.182, 0.390], [0.512, 0.121, 0.307], [0.455, 0.234, 0.579], [0.765, 0.422, 0.548], [0.579, 0.455, 0.234], [0.641, 0.641, 0.641], [0.359, 0.359, 0.359], [0.145, 0.145, 0.145], [0.043, 0.745, 0.449], [0.449, 0.043, 0.745], [0.960, 0.258, 0.538], [0.258, 0.538, 0.960], [0.538, 0.960, 0.258], [0.745, 0.449, 0.043], [0.501, 0.501, 0.501], [0.005, 0.005, 0.005], [0.858, 0.858, 0.858]]
}